Entry 1:
Compound: ThB2Se6
Source: Alexandria
Functional: PBE
Structure: relaxed

Geometry as POSCAR:
```
ThB2Se6
1.0
6.827 -5.119 0.000
6.827 5.119 0.000
-2.629 0.000 6.047
Th B Se
2 4 12
Direct
0.181 0.819 0.750 Th
0.819 0.181 0.250 Th
0.217 0.350 0.803 B
0.350 0.217 0.303 B
0.650 0.783 0.697 B
0.783 0.650 0.197 B
0.052 0.190 0.696 Se
0.091 0.591 0.916 Se
0.190 0.052 0.196 Se
0.295 0.414 0.578 Se
0.409 0.909 0.584 Se
0.414 0.295 0.078 Se
0.586 0.705 0.922 Se
0.591 0.091 0.416 Se
0.705 0.586 0.422 Se
0.810 0.948 0.804 Se
0.909 0.409 0.084 Se
0.948 0.810 0.304 Se
```

Output
Size of the total moment = 0.00 μB per cell
Symmetry = C2/c
DOS at the Fermi energy = 5.30 states/eV/cell
Uncorrected formation energy = -40.7 kJ per mole of atoms

---

Entry 2:
Compound: Nd3Pt2O
Source: Alexandria
Functional: PBE
Structure: relaxed

Geometry as POSCAR:
```
Nd3Pt2O
1.0
6.140 -3.266 0.000
6.140 3.266 0.000
-0.612 0.000 7.386
Nd Pt O
6 4 2
Direct
0.135 0.865 0.750 Nd
0.205 0.480 0.313 Nd
0.480 0.205 0.813 Nd
0.520 0.795 0.187 Nd
0.795 0.520 0.687 Nd
0.865 0.135 0.250 Nd
0.108 0.243 0.008 Pt
0.243 0.108 0.508 Pt
0.757 0.892 0.492 Pt
0.892 0.757 0.992 Pt
0.477 0.523 0.750 O
0.523 0.477 0.250 O
```

Output
Size of the total moment = 0.00 μB per cell
Symmetry = C2/c
DOS at the Fermi energy = 6.73 states/eV/cell
Uncorrected formation energy = -154.3 kJ per mole of atoms